*w*
# HfPa2Tl PBE relaxed
data_HfPa2Tl
_chemical_formula_sum 'Hf1 Pa2 Tl1'
_symmetry_space_group_name_H-M 'P 4/m m m'
_symmetry_Int_Tables_number 123
_symmetry_space_group_name_Hall '-P 4 2'
_cell_length_a 4.370
_cell_length_b 4.370
_cell_length_c 5.033
_cell_angle_alpha 90.00
_cell_angle_beta 90.00
_cell_angle_gamma 90.00
loop_
_atom_site_label
_atom_site_fract_x
_atom_site_fract_y
_atom_site_fract_z
_atom_site_occupancy
Hf1 0.000 0.000 0.000 1
Pa1 0.000 0.500 0.500 1
Tl1 0.500 0.500 0.000 1
# N(E_F) ... 5.6 states/eV/cell



*x*
# HfPa2Tl PBE relaxed
data_HfPa2Tl
_chemical_formula_sum 'Hf4 Pa8 Tl4'
_symmetry_space_group_name_H-M 'F m -3 m'
_symmetry_Int_Tables_number 225
_symmetry_space_group_name_Hall '-F 4 2 3'
_cell_length_a 7.421
_cell_length_b 7.421
_cell_length_c 7.421
_cell_angle_alpha 90.00
_cell_angle_beta 90.00
_cell_angle_gamma 90.00
loop_
_atom_site_label
_atom_site_fract_x
_atom_site_fract_y
_atom_site_fract_z
_atom_site_occupancy
Hf1 0.000 0.000 0.000 1
Pa1 0.250 0.250 0.250 1
Tl1 0.000 0.000 0.500 1
# N(E_F) ... 33.8 states/eV/cell



*y*
# HfPa2Tl PBE relaxed
data_HfPa2Tl
_chemical_formula_sum 'Hf1 Pa2 Tl1'
_symmetry_space_group_name_H-M 'P 4/m m m'
_symmetry_Int_Tables_number 123
_symmetry_space_group_name_Hall '-P 4 2'
_cell_length_a 4.037
_cell_length_b 4.037
_cell_length_c 6.348
_cell_angle_alpha 90.00
_cell_angle_beta 90.00
_cell_angle_gamma 90.00
loop_
_atom_site_label
_atom_site_fract_x
_atom_site_fract_y
_atom_site_fract_z
_atom_site_occupancy
Hf1 0.000 0.000 0.000 1
Pa1 0.500 0.500 0.267 1
Tl1 0.000 0.000 0.500 1
# N(E_F) ... 9.6 states/eV/cell



Least stable: *x*



*w*
# TmHfPa2 PBE relaxed
data_TmHfPa2
_chemical_formula_sum 'Tm1 Hf1 Pa2'
_symmetry_space_group_name_H-M 'P 4/m m m'
_symmetry_Int_Tables_number 123
_symmetry_space_group_name_Hall '-P 4 2'
_cell_length_a 3.169
_cell_length_b 3.169
_cell_length_c 10.093
_cell_angle_alpha 90.00
_cell_angle_beta 90.00
_cell_angle_gamma 90.00
loop_
_atom_site_label
_atom_site_fract_x
_atom_site_fract_y
_atom_site_fract_z
_atom_site_occupancy
Tm1 0.000 0.000 0.000 1
Hf1 0.000 0.000 0.500 1
Pa1 0.500 0.500 0.262 1
# N(E_F) ... 8.4 states/eV/cell



*x*
# TmHfPa2 PBE relaxed
data_TmHfPa2
_chemical_formula_sum 'Tm3 Hf3 Pa6'
_symmetry_space_group_name_H-M 'R -3 m'
_symmetry_Int_Tables_number 166
_symmetry_space_group_name_Hall '-R 3 2"'
_cell_length_a 3.1490
_cell_length_b 3.1490
_cell_length_c 35.5295
_cell_angle_alpha 90.00
_cell_angle_beta 90.00
_cell_angle_gamma 120.00
loop_
_atom_site_label
_atom_site_fract_x
_atom_site_fract_y
_atom_site_fract_z
_atom_site_occupancy
Tm1 0.0000 0.0000 0.0000 1
Hf1 0.0000 0.0000 0.5000 1
Pa1 0.0000 0.0000 0.0881 1
# N(E_F) ... 21.5 states/eV/cell



Least stable: *x*



*w*
# Hf2UPa PBE relaxed
data_Hf2UPa
_chemical_formula_sum 'Hf2 U1 Pa1'
_symmetry_space_group_name_H-M 'P 4/m m m'
_symmetry_Int_Tables_number 123
_symmetry_space_group_name_Hall '-P 4 2'
_cell_length_a 3.015
_cell_length_b 3.015
_cell_length_c 10.015
_cell_angle_alpha 90.00
_cell_angle_beta 90.00
_cell_angle_gamma 90.00
loop_
_atom_site_label
_atom_site_fract_x
_atom_site_fract_y
_atom_site_fract_z
_atom_site_occupancy
Hf1 0.000 0.000 0.245 1
U1 0.500 0.500 0.000 1
Pa1 0.500 0.500 0.500 1
# N(E_F) ... 7.4 states/eV/cell



*x*
# Hf2UPa PBE relaxed
data_Hf2UPa
_chemical_formula_sum 'Hf6 U3 Pa3'
_symmetry_space_group_name_H-M 'R -3 m'
_symmetry_Int_Tables_number 166
_symmetry_space_group_name_Hall '-R 3 2"'
_cell_length_a 3.1339
_cell_length_b 3.1339
_cell_length_c 32.6651
_cell_angle_alpha 90.00
_cell_angle_beta 90.00
_cell_angle_gamma 120.00
loop_
_atom_site_label
_atom_site_fract_x
_atom_site_fract_y
_atom_site_fract_z
_atom_site_occupancy
Hf1 0.0000 0.0000 0.2487 1
U1 0.0000 0.0000 0.5000 1
Pa1 0.0000 0.0000 0.0000 1
# N(E_F) ... 29.3 states/eV/cell



Least stable: *x*



*w*
# Hf2PaV PBE relaxed
data_Hf2PaV
_chemical_formula_sum 'Hf2 Pa1 V1'
_symmetry_space_group_name_H-M 'P 4/m m m'
_symmetry_Int_Tables_number 123
_symmetry_space_group_name_Hall '-P 4 2'
_cell_length_a 3.199
_cell_length_b 3.199
_cell_length_c 8.220
_cell_angle_alpha 90.00
_cell_angle_beta 90.00
_cell_angle_gamma 90.00
loop_
_atom_site_label
_atom_site_fract_x
_atom_site_fract_y
_atom_site_fract_z
_atom_site_occupancy
Hf1 0.000 0.000 0.208 1
Pa1 0.500 0.500 0.500 1
V1 0.500 0.500 0.000 1
# N(E_F) ... 7.9 states/eV/cell



*x*
# Hf2PaV PBE relaxed
data_Hf2PaV
_chemical_formula_sum 'Hf8 Pa4 V4'
_symmetry_space_group_name_H-M 'F m -3 m'
_symmetry_Int_Tables_number 225
_symmetry_space_group_name_Hall '-F 4 2 3'
_cell_length_a 6.890
_cell_length_b 6.890
_cell_length_c 6.890
_cell_angle_alpha 90.00
_cell_angle_beta 90.00
_cell_angle_gamma 90.00
loop_
_atom_site_label
_atom_site_fract_x
_atom_site_fract_y
_atom_site_fract_z
_atom_site_occupancy
Hf1 0.250 0.250 0.250 1
Pa1 0.000 0.000 0.000 1
V1 0.000 0.000 0.500 1
# N(E_F) ... 25.7 states/eV/cell



Least stable: *x*